# Ba4InHg2Au | Alexandria | GGA-PBE | optimized geometry
# Total energy, eV per atom: -2.32
# Volume, Å³ per cell: 878
# E_form, eV/atom: -0.535
# Theoretical density, g/cm3: 7.16
data_Ba4InHg2Au
_chemical_formula_sum 'Ba12 In3 Hg6 Au3'
_space_group_name_H-M_alt 'R -3 m'
_space_group_IT_number 166
_space_group_name_Hall '-R 3 2"'
_cell_length_a 5.9158
_cell_length_b 5.9158
_cell_length_c 28.9609
_cell_angle_alpha 90.00
_cell_angle_beta 90.00
_cell_angle_gamma 120.00
loop_
_atom_site_label
_atom_site_type_symbol
_atom_site_fract_x
_atom_site_fract_y
_atom_site_fract_z
_atom_site_occupancy
Ba1 Ba 0.0000 0.0000 0.1203 1
Ba2 Ba 0.0000 0.0000 0.3722 1
In1 In 0.0000 0.0000 0.5000 1
Hg1 Hg 0.0000 0.0000 0.2442 1
Au1 Au 0.0000 0.0000 0.0000 1

# TlCr3Ni | Alexandria | GGA-PBE | optimized geometry
# Total energy, eV per atom: -6.35
# Volume, Å³ per cell: 98
# E_form, eV/atom: 1.057
# Theoretical density, g/cm3: 7.12
data_TlCr3Ni
_chemical_formula_sum 'Tl1 Cr3 Ni1'
_space_group_name_H-M_alt 'P m -3 m'
_space_group_IT_number 221
_space_group_name_Hall '-P 4 2 3'
_cell_length_a 4.6061
_cell_length_b 4.6061
_cell_length_c 4.6061
_cell_angle_alpha 90.00
_cell_angle_beta 90.00
_cell_angle_gamma 90.00
loop_
_atom_site_label
_atom_site_type_symbol
_atom_site_fract_x
_atom_site_fract_y
_atom_site_fract_z
_atom_site_occupancy
Tl1 Tl 0.0000 0.0000 0.0000 1
Cr1 Cr 0.0000 0.5000 0.5000 1
Ni1 Ni 0.5000 0.5000 0.5000 1

# La2AgN | Alexandria | GGA-PBE | optimized geometry
# E_form (uncorrected), eV per atom: -0.70
# Total energy, eV per atom: -5.96
# Volume, Å³ per cell: 438
# Theoretical density, g/cm3: 6.07
data_La2AgN
_chemical_formula_sum 'La8 Ag4 N4'
_space_group_name_H-M_alt 'I -4 2 d'
_space_group_IT_number 122
_space_group_name_Hall 'I -4 2bw'
_cell_length_a 7.0516
_cell_length_b 7.0516
_cell_length_c 8.8018
_cell_angle_alpha 90.00
_cell_angle_beta 90.00
_cell_angle_gamma 90.00
loop_
_atom_site_label
_atom_site_type_symbol
_atom_site_fract_x
_atom_site_fract_y
_atom_site_fract_z
_atom_site_occupancy
La1 La 0.1631 0.7500 0.1250 1
Ag1 Ag 0.0000 0.0000 0.5000 1
N1 N 0.0000 0.0000 0.0000 1